An optimized crystal structure of CsFeB2F8. Source: the Alexandria database, functional GGA+U.

Structure (extended XYZ):
```
12
Lattice="2.623 1.514 7.992 -2.623 1.514 7.992 0.000 -3.028 7.992" Properties=species:S:1:pos:R:3 pbc="T T T"
Cs 0.000 0.000 0.000
Fe 0.000 0.000 11.988
B 0.000 0.000 5.763
B 0.000 0.000 18.213
F -1.887 -0.389 10.667
F -0.607 -1.829 13.309
F 0.000 0.000 7.192
F -1.280 1.440 13.309
F 1.280 -1.440 10.667
F 0.000 0.000 16.784
F 0.607 1.829 10.667
F 1.887 0.389 13.309
```

Properties
* total moment: 3.00 μB/cell
* final energy: -66.24 eV for the cell shown